(1)
Sr2ZrInCo | GGA-PBEsol | optimized geometry

Geometry as POSCAR:
```
Sr2ZrInCo
1.0
-2.853 -2.042 -2.951
1.624 -5.093 1.953
-4.148 0.170 3.893
Sr Co Zr In
2 1 1 1
direct
0.000 0.000 0.500
0.000 0.500 0.000
0.000 0.000 0.000
0.500 0.000 0.000
0.500 0.500 0.500
```

Calculated values
Formation energy from the elements in eV per atom: 0.24

(2)
Cr3Ga | GGA-PBEsol | optimized geometry

Geometry as POSCAR:
```
Cr3Ga
1.0
4.530 0.000 0.000
0.000 4.530 0.000
0.000 0.000 4.530
Cr Ga
6 2
direct
0.250 0.000 0.500
0.750 0.000 0.500
0.000 0.500 0.250
0.000 0.500 0.750
0.500 0.750 0.000
0.500 0.250 0.000
0.000 0.000 0.000
0.500 0.500 0.500
```

Calculated values
Formation energy from the elements in eV per atom: -0.08

(3)
CdReP2 | GGA-PBEsol | optimized geometry

Geometry as POSCAR:
```
CdReP2
1.0
-2.728 -0.279 1.077
0.046 -2.878 -0.629
2.870 -1.461 6.893
Cd P Re
1 2 1
direct
0.500 0.500 0.500
0.000 0.000 0.815
0.000 0.000 0.185
0.500 0.500 0.000
```

Calculated values
Formation energy from the elements in eV per atom: -0.01

(4)
NiHgSe2Br | GGA-PBEsol | optimized geometry

Geometry as POSCAR:
```
NiHgSe2Br
1.0
-4.522 -2.315 -0.901
-0.470 -1.041 5.031
-2.503 4.608 0.720
Ni Se Hg Br
1 2 1 1
direct
0.500 0.500 0.500
0.000 0.500 0.000
0.500 0.000 0.000
0.000 0.000 0.000
0.000 0.000 0.500
```

Calculated values
Formation energy from raw total energies in eV/atom: 1.08

(5)
TaGaC2 | GGA-PBEsol | optimized geometry

Geometry as POSCAR:
```
TaGaC2
1.0
4.748 0.000 0.000
0.000 4.748 0.000
-2.374 -2.374 4.736
C Ga Ta
4 2 2
direct
0.373 0.875 0.250
0.877 0.375 0.250
0.125 0.123 0.750
0.625 0.627 0.750
0.750 0.250 0.500
0.500 0.500 0.000
0.250 0.750 0.500
0.000 0.000 0.000
```

Calculated values
Formation energy from the elements in eV per atom: 0.32

(6)
KIrOs2 | GGA-PBEsol | optimized geometry

Geometry as POSCAR:
```
KIrOs2
1.0
-0.901 -2.244 1.156
3.126 -1.803 -1.065
3.448 2.061 6.633
Ir K Os
1 1 2
direct
0.000 0.000 0.579
0.497 0.500 0.255
0.002 0.000 0.910
0.501 0.500 0.756
```

Calculated values
Energy relative to the lowest polymorph listed for this composition in meV/atom: 0
Formation energy from the elements in eV per atom: 0.83

(7)
K2Y2Mg | GGA-PBEsol | optimized geometry

Geometry as POSCAR:
```
K2Y2Mg
1.0
4.413 0.000 0.000
0.000 4.413 0.000
-2.206 -2.206 11.782
K Mg Y
2 1 2
direct
0.602 0.602 0.203
0.398 0.398 0.797
0.000 0.000 0.000
0.250 0.750 0.500
0.750 0.250 0.500
```

Calculated values
Formation energy from the elements in eV per atom: 0.59

(8)
KLi2S2 | GGA-PBEsol | optimized geometry

Geometry as POSCAR:
```
KLi2S2
1.0
-0.527 -3.756 1.735
1.688 -1.792 -3.367
4.302 3.132 3.073
K S Li
1 2 2
direct
0.000 0.000 0.000
0.366 0.366 0.731
0.634 0.634 0.269
0.250 0.750 0.500
0.750 0.250 0.500
```

Calculated values
Formation energy from raw total energies in eV/atom: -1.04

(9)
CaMg2Ag | GGA-PBEsol | optimized geometry

Geometry as POSCAR:
```
CaMg2Ag
1.0
3.478 0.000 0.000
1.739 3.012 0.000
1.739 1.004 9.506
Ag Ca Mg
1 1 2
direct
0.500 0.500 0.500
0.000 0.000 0.000
0.235 0.235 0.295
0.765 0.765 0.705
```

Calculated values
Formation energy from the elements in eV per atom: 0.03

(10)
CdRe2GeOs | GGA-PBEsol | optimized geometry

Geometry as POSCAR:
```
CdRe2GeOs
1.0
-3.033 -2.144 2.552
3.166 -2.965 1.272
1.074 2.648 3.502
Re Ge Os Cd
2 1 1 1
direct
0.000 0.000 0.500
0.000 0.500 0.000
0.000 0.000 0.000
0.500 0.000 0.000
0.500 0.500 0.500
```

Calculated values
Formation energy from the elements in eV per atom: 1.76

(11)
MnAlOs2 | GGA-PBEsol | optimized geometry

Geometry as POSCAR:
```
MnAlOs2
1.0
-0.524 -0.952 2.665
4.267 0.286 0.940
-2.418 4.247 -0.511
Mn Os Al
1 2 1
direct
0.000 0.500 0.000
0.754 0.754 0.508
0.246 0.246 0.492
0.500 0.000 0.000
```

Calculated values
Formation energy from the elements in eV per atom: 0.08

(12)
FeCo3 | GGA-PBEsol | optimized geometry

Geometry as POSCAR:
```
FeCo3
1.0
-1.372 0.772 -2.276
0.393 -2.513 -1.089
-9.595 -3.495 4.600
Co Fe
6 2
direct
0.500 0.000 0.811
0.000 0.500 0.939
0.500 0.000 0.061
0.000 0.500 0.189
0.000 0.500 0.435
0.500 0.000 0.565
0.500 0.000 0.312
0.000 0.500 0.688
```

Calculated values
Formation energy from the elements in eV per atom: 0.05

no.,D(E_F) (states/eV per atom),ρ (g/cm³),total magnetic moment (μB/atom)
1,0.98,4.9,0.000
2,0.63,8.1,0.000
3,0.35,9.1,0.000
4,2.11,5.9,0.359
5,0.01,8.5,0.000
6,1.04,13.0,0.000
7,1.26,2.0,0.000
8,0.59,2.1,0.007
9,0.51,3.3,0.000
10,1.22,13.5,0.123
11,1.05,14.7,0.043
12,0.96,9.0,1.935